Below is a relaxed Cu3RhF crystal, with properties calculated at the PBE level. Values from VASP.

The structure in Quantum ESPRESSO input format:
```
&SYSTEM
  ibrav = 0, nat = 5, ntyp = 3
/
ATOMIC_SPECIES
Rh 102.91 Rh.upf
Cu 63.55 Cu.upf
F 19.00 F.upf
ATOMIC_POSITIONS angstrom
Rh 0.0000 0.0000 0.0000
Cu 0.0000 2.3191 0.0000
Cu 0.0000 0.0000 2.3191
Cu 2.3191 0.0000 0.0000
F 2.3191 2.3191 2.3191
CELL_PARAMETERS angstrom
4.6382 0.0000 0.0000
0.0000 4.6382 0.0000
0.0000 0.0000 4.6382
```

Output
As for the density of states at the Fermi level: 5.57 states/eV/f.u. As for the uncorrected formation energy: 0.87 eV per atom. As for the volume: 20.0 A^3/atom. The distance to the lowest polymorph of the same formula is 615 meV/atom. Its mass density is 5.20 Mg/m³.